First-principles (PBE) data for an optimized crystal structure of MnW3C, as listed in the Alexandria database.

It has space group Pm-3m (No. 221), with a = 4.445 Å, b = 4.445 Å, c = 4.445 Å, α = 90.00°, β = 90.00° and γ = 90.00°. The distinct sites, in fractional coordinates, are Mn at (0.000, 0.000, 0.000), W at (0.000, 0.000, 0.500) and C at (0.500, 0.500, 0.500).

The formation enthalpy at 0 K is 2.608 eV per atom. The mass density comes out at 11.70 g/cm³.

---

First-principles (PBE) data for an optimized crystal structure of Mn3W2C2, as listed in the Alexandria database.

It has space group C2/m (No. 12), with a = 8.465 Å, b = 2.780 Å, c = 6.676 Å, α = 90.00°, β = 111.50° and γ = 90.00°. The distinct sites, in fractional coordinates, are Mn at (0.000, 0.000, 0.000), Mn at (0.116, 0.000, 0.418), W at (0.163, 0.500, 0.789) and C at (0.142, 0.500, 0.224).

The formation enthalpy at 0 K is -0.014 eV per atom. The mass density comes out at 12.64 g/cm³.

---

First-principles (PBE) data for an optimized crystal structure of MnWC, as listed in the Alexandria database.

It has space group C2/m (No. 12), with a = 8.259 Å, b = 3.231 Å, c = 5.692 Å, α = 90.00°, β = 124.39° and γ = 90.00°. The distinct sites, in fractional coordinates, are Mn at (0.178, 0.000, 0.080), W at (0.075, 0.500, 0.341) and C at (0.180, 0.000, 0.725).

The formation enthalpy at 0 K is 0.229 eV per atom. The mass density comes out at 13.29 g/cm³.

---

First-principles (PBE) data for an optimized crystal structure of Mn3W3C, as listed in the Alexandria database.

It has space group Fd-3m (No. 227, origin choice 2), with a = 11.132 Å, b = 11.132 Å, c = 11.132 Å, α = 90.00°, β = 90.00° and γ = 90.00°. The distinct sites, in fractional coordinates, are Mn at (0.000, 0.000, 0.000), Mn at (0.047, 0.047, 0.203), W at (0.074, 0.375, 0.875) and C at (0.000, 0.000, 0.500).

The formation enthalpy at 0 K is -0.075 eV per atom. The mass density comes out at 14.03 g/cm³.

---

First-principles (PBE) data for an optimized crystal structure of MnW3C, as listed in the Alexandria database.

It has space group Pm-3m (No. 221), with a = 4.104 Å, b = 4.104 Å, c = 4.104 Å, α = 90.00°, β = 90.00° and γ = 90.00°. The distinct sites, in fractional coordinates, are Mn at (0.000, 0.000, 0.000), W at (0.000, 0.500, 0.500) and C at (0.500, 0.500, 0.500).

The formation enthalpy at 0 K is 0.366 eV per atom. The mass density comes out at 14.86 g/cm³.

---

First-principles (PBE) data for an optimized crystal structure of Y2Mn17C3, as listed in the Alexandria database.

It has space group P6_3/mmc (No. 194), with a = 8.5359 Å, b = 8.5359 Å, c = 8.2920 Å, α = 90.00°, β = 90.00° and γ = 120.00°. The distinct sites, in fractional coordinates, are Y at (0.0000, 0.0000, 0.2500), Y at (0.3333, 0.6667, 0.2500), Mn at (0.0000, 0.5000, 0.0000), Mn at (0.0596, 0.3877, 0.7500), Mn at (0.1680, 0.3359, 0.0236), Mn at (0.3333, 0.6667, 0.6075) and C at (0.1656, 0.3312, 0.2500).

The formation enthalpy at 0 K is -0.080 eV per atom. The mass density comes out at 7.29 g/cm³.

---

Copy entry 1 word for word.
First-principles (PBE) data for an optimized crystal structure of MnW3C, as listed in the Alexandria database.

It has space group Pm-3m (No. 221), with a = 4.445 Å, b = 4.445 Å, c = 4.445 Å, α = 90.00°, β = 90.00° and γ = 90.00°. The distinct sites, in fractional coordinates, are Mn at (0.000, 0.000, 0.000), W at (0.000, 0.000, 0.500) and C at (0.500, 0.500, 0.500).

The formation enthalpy at 0 K is 2.608 eV per atom. The mass density comes out at 11.70 g/cm³.

---

Question: Which of these has the highest formation enthalpy at 0 K?
Answer: number 1

---

Question: Among the records above, which one has the lowest mass density?
Answer: Y2Mn17C3